(1)
# SrZr2CuTe

A relaxed SrZr2CuTe crystal (PBE, Alexandria).

a b c (Å): 4.968 4.968 5.765
angles (deg): 90.00 90.00 90.00
Sites, in units of the cell vectors:
Sr 0.000 0.000 0.000
Zr 0.000 0.500 0.500
Zr 0.500 0.000 0.500
Cu 0.000 0.000 0.500
Te 0.500 0.500 0.000

N(E_F), states/eV/atom: 1.2283
Total moment, μB/f.u.: 0.895
VASP energy, eV per cell: -25.1
Energy relative to the elements, uncorrected, meV per atom: 187.4
Energy above the lowest structure with this stoichiometry, kJ/mol of formula units: 0
SG: P4/mmm (123)


(2)
# Mg2NbGaF

A relaxed Mg2NbGaF crystal (PBE, Alexandria).

a b c (Å): 5.623 5.623 4.028
angles (deg): 90.00 90.00 90.00
Sites, in units of the cell vectors:
Mg 0.000 0.500 0.000
Mg 0.500 0.000 0.000
Nb 0.000 0.000 0.000
Ga 0.500 0.500 0.500
F 0.000 0.000 0.500

N(E_F), states/eV/atom: 1.2249
Total moment, μB/f.u.: 1.624
VASP energy, eV per cell: -17.7
Energy relative to the elements, uncorrected, meV per atom: 85.0
SG: P4/mmm (123)


(3)
# Ce2SmAu8

A relaxed Ce2SmAu8 crystal (PBE, Alexandria).

a b c (Å): 8.656 8.656 5.263
angles (deg): 107.52 107.52 124.94
Sites, in units of the cell vectors:
Ce 0.184 0.816 0.000
Ce 0.816 0.184 0.000
Sm 0.500 0.500 0.500
Au 0.004 0.004 0.754
Au 0.139 0.404 0.767
Au 0.300 0.700 0.500
Au 0.404 0.139 0.767
Au 0.596 0.861 0.233
Au 0.700 0.300 0.500
Au 0.861 0.596 0.233
Au 0.996 0.996 0.246

Energy of formation, eV per formula unit: -6.9
N(E_F), states/eV/atom: 1.3024
Total moment, μB/f.u.: 1.670
VASP energy, eV per cell: -49.7
SG: C2/m (12)


(4)
# Ce2Y3PuP6

A relaxed Ce2Y3PuP6 crystal (PBE, Alexandria).

a b c (Å): 6.995 6.995 6.983
angles (deg): 99.63 99.63 119.99
Sites, in units of the cell vectors:
Ce 0.167 0.833 0.000
Ce 0.833 0.167 0.000
Y 0.000 0.000 0.500
Y 0.333 0.667 0.500
Y 0.667 0.333 0.500
Pu 0.500 0.500 0.000
P 0.086 0.417 0.750
P 0.253 0.253 0.250
P 0.417 0.086 0.750
P 0.583 0.914 0.250
P 0.747 0.747 0.750
P 0.914 0.583 0.250

Energy of formation, eV per formula unit: -18.1
N(E_F), states/eV/atom: 1.5517
Total moment, μB/f.u.: 6.168
VASP energy, eV per cell: -96.1
SG: C2/m (12)